[1]
# K2RbNa

A geometry-optimized K2RbNa structure (PBE, Alexandria via LeMat-Bulk).

- offset from the most stable computed form (meV per atom) = 60
- ΔE_f (meV/atom) = 78

Lattice parameters (Å, degrees): 4.4942 7.3934 16.8970 90.00 90.00 90.00
Space group Immm (No. 71)
Symmetry-distinct sites (fractional):
K: 0.0000 0.0000 0.2226 x4
Rb: 0.0000 0.0000 0.5000 x2
Na: 0.0000 0.0000 0.0000 x2

=====

[2]
# Ce3AlS6

A geometry-optimized Ce3AlS6 structure (PBE, Alexandria via LeMat-Bulk).

- formation energy without anion corrections (eV per atom) = -1.78

Lattice parameters (Å, degrees): 10.9776 13.6950 6.6301 90.00 90.00 90.00
Space group Cmc2_1 (No. 36)
Symmetry-distinct sites (fractional):
Ce: 0.0000 0.1026 0.0000 x4
Ce: 0.1823 0.3995 0.0714 x8
Al: 0.0000 0.3024 0.6207 x4
S: 0.0000 0.2835 0.2812 x4
S: 0.0000 0.4580 0.7500 x4
S: 0.1611 0.0226 0.2864 x8
S: 0.1618 0.2366 0.7829 x8

=====

[3]
# GeHPd2

A geometry-optimized GeHPd2 structure (PBE, Alexandria via LeMat-Bulk).

- offset from the most stable computed form (meV per atom) = 351

Lattice parameters (Å, degrees): 5.9311 5.9311 5.9311 90.00 90.00 90.00
Space group Fm-3m (No. 225)
Symmetry-distinct sites (fractional):
Ge: 0.0000 0.0000 0.0000 x4
H: 0.0000 0.0000 0.5000 x4
Pd: 0.2500 0.2500 0.2500 x8

=====

[4]
# AlSn2H

A geometry-optimized AlSn2H structure (PBE, Alexandria via LeMat-Bulk).

- offset from the most stable computed form (meV per atom) = 31

Lattice parameters (Å, degrees): 6.7553 6.7553 6.7553 90.00 90.00 90.00
Space group Fm-3m (No. 225)
Symmetry-distinct sites (fractional):
Al: 0.0000 0.0000 0.0000 x4
Sn: 0.2500 0.2500 0.2500 x8
H: 0.0000 0.0000 0.5000 x4

=====

[5]
# AcEr3Ru

A geometry-optimized AcEr3Ru structure (PBE, Alexandria via LeMat-Bulk).

- ΔE_f (meV/atom) = -148

Lattice parameters (Å, degrees): 5.4257 5.4257 5.4257 90.00 90.00 90.00
Space group Pm-3m (No. 221)
Symmetry-distinct sites (fractional):
Ac: 0.0000 0.0000 0.0000 x1
Er: 0.0000 0.5000 0.5000 x3
Ru: 0.5000 0.5000 0.5000 x1

=====

[6]
# ReIrRh

A geometry-optimized ReIrRh structure (PBE, Alexandria via LeMat-Bulk).

- offset from the most stable computed form (meV per atom) = 5
- ΔE_f (meV/atom) = -142

Lattice parameters (Å, degrees): 2.7438 2.7438 11.6099 90.00 90.00 90.00
Space group I4mm (No. 107)
Symmetry-distinct sites (fractional):
Re: 0.0000 0.0000 0.0000 x2
Ir: 0.0000 0.0000 0.6599 x2
Rh: 0.0000 0.0000 0.3375 x2

=====

[7]
# RbGaHg2S

A geometry-optimized RbGaHg2S structure (PBE, Alexandria via LeMat-Bulk).

- formation energy without anion corrections (eV per atom) = -0.29

Lattice parameters (Å, degrees): 5.4492 5.4492 5.1336 90.00 90.00 90.00
Space group P4/mmm (No. 123)
Symmetry-distinct sites (fractional):
Rb: 0.0000 0.0000 0.0000 x1
Ga: 0.5000 0.5000 0.5000 x1
Hg: 0.0000 0.5000 0.5000 x2
S: 0.5000 0.5000 0.0000 x1

=====

[8]
# BPS2I

A geometry-optimized BPS2I structure (PBE, Alexandria via LeMat-Bulk).

- formation energy without anion corrections (eV per atom) = 0.91
- offset from the most stable computed form (meV per atom) = 0

Lattice parameters (Å, degrees): 4.2038 4.2038 4.6817 90.00 90.00 90.00
Space group P4/mmm (No. 123)
Symmetry-distinct sites (fractional):
B: 0.0000 0.0000 0.0000 x1
P: 0.0000 0.0000 0.5000 x1
S: 0.0000 0.5000 0.0000 x2
I: 0.5000 0.5000 0.5000 x1

=====

no.,size of the total moment (μB per atom)
1,0.000
2,0.301
3,0.000
4,0.000
5,0.000
6,0.000
7,0.000
8,0.000